Record 1
This record from Alexandria describes Ti6GaPt after structural relaxation. The functional is PBE.

```
Ti6GaPt
1.0
4.7260 0.0000 0.0000
0.0000 2.8545 4.8479
0.0000 -2.8545 4.8479
Ti Ga Pt
6 1 1
Direct
0.0000 0.0000 0.0000
0.0000 0.0062 0.4898
0.0000 0.4898 0.0062
0.5000 0.1824 0.6686
0.5000 0.6686 0.1824
0.5000 0.6699 0.6699
0.0000 0.5030 0.5030
0.5000 0.1741 0.1741
```

## Properties
- Energy of formation: -0.373 eV/atom
- SG: Amm2
- E: -59.42 eV per formula unit
- Distance to the lowest polymorph of the same formula: 0.000 eV/atom
- Crystal system: orthorhombic



Record 2
This record from Alexandria describes Ti2GaPt6 after structural relaxation. The functional is PBE.

```
Ti2GaPt6
1.0
-1.9608 3.3335 6.0566
1.9608 -3.3335 6.0566
1.9608 3.3335 -6.0566
Ti Ga Pt
2 1 6
Direct
0.1614 0.1614 0.0000
0.8386 0.8386 0.0000
0.5000 0.5000 0.0000
0.0915 0.3335 0.7581
0.2546 0.0000 0.2546
0.4246 0.6665 0.7581
0.5754 0.3335 0.2419
0.7454 0.0000 0.7454
0.9085 0.6665 0.2419
```

## Properties
- Energy of formation: -0.652 eV/atom
- SG: Immm
- E: -60.93 eV per formula unit
- Crystal system: orthorhombic



Record 3
This record from Alexandria describes Ti6GaPt after structural relaxation. The functional is PBE.

```
Ti6GaPt
1.0
2.7807 -4.5472 0.0000
2.7807 4.5472 0.0000
-0.8267 0.0000 5.1627
Ti Ga Pt
6 1 1
Direct
0.1086 0.6314 0.7597
0.2463 0.2463 0.9723
0.3686 0.8914 0.2403
0.6314 0.1086 0.7597
0.7537 0.7537 0.0277
0.8914 0.3686 0.2403
0.5000 0.5000 0.5000
0.0000 0.0000 0.5000
```

## Properties
- Energy of formation: -0.331 eV/atom
- SG: C2/m
- E: -59.09 eV per formula unit
- Distance to the lowest polymorph of the same formula: 0.042 eV/atom
- Crystal system: monoclinic



Record 4
This record from Alexandria describes TiGaPt after structural relaxation. The functional is PBE.

```
TiGaPt
1.0
4.3776 0.0000 0.0000
-2.1888 3.7911 0.0000
0.0000 0.0000 2.8081
Ti Ga Pt
1 1 1
Direct
0.0000 0.0000 0.0000
0.6667 0.3333 0.5000
0.3333 0.6667 0.5000
```

## Properties
- Energy of formation: -0.786 eV/atom
- SG: P-6m2
- E: -19.32 eV per formula unit
- Crystal system: hexagonal